Run A
# HoTm3Tl4 GGA-PBE optimized geometry
# Magnetic moment   0.000 μB/atom
# Mass density   11678 kg/m3
# Fermi-level density of states   0.68 states/eV/atom
data_HoTm3Tl4
_chemical_formula_sum 'Ho1 Tm3 Tl4'
_cell_length_a 3.753
_cell_length_b 3.753
_cell_length_c 15.033
_cell_angle_alpha 90.00
_cell_angle_beta 90.00
_cell_angle_gamma 90.00
_space_group_name_H-M_alt 'P 4/m m m'
_space_group_IT_number 123
_space_group_name_Hall '-P 4 2'
loop_
_atom_site_label
_atom_site_fract_x
_atom_site_fract_y
_atom_site_fract_z
Ho1 0.000 0.000 0.000
Tm1 0.000 0.000 0.251
Tm2 0.000 0.000 0.500
Tl1 0.500 0.500 0.127
Tl2 0.500 0.500 0.376


Run B
# HoTm3Tl4 GGA-PBE optimized geometry
# Magnetic moment   0.017 μB/atom
# Mass density   10840 kg/m3
# Fermi-level density of states   0.78 states/eV/atom
data_HoTm3Tl4
_chemical_formula_sum 'Ho2 Tm6 Tl8'
_cell_length_a 3.489
_cell_length_b 7.106
_cell_length_c 18.399
_cell_angle_alpha 90.00
_cell_angle_beta 90.00
_cell_angle_gamma 90.00
_space_group_name_H-M_alt 'I m m m'
_space_group_IT_number 71
_space_group_name_Hall '-I 2 2'
loop_
_atom_site_label
_atom_site_fract_x
_atom_site_fract_y
_atom_site_fract_z
Ho1 0.000 0.000 0.000
Tm1 0.000 0.000 0.500
Tm2 0.000 0.500 0.279
Tl1 0.000 0.282 0.127


The structure with the most favorable energy is run A; the runner-up is 0.116 eV/atom above it.


Run A
# Ho2Tm4Tl GGA-PBE optimized geometry
# Magnetic moment   0.000 μB/atom
# Mass density   9677 kg/m3
# Fermi-level density of states   1.14 states/eV/atom
data_Ho2Tm4Tl
_chemical_formula_sum 'Ho8 Tm16 Tl4'
_cell_length_a 11.393
_cell_length_b 3.484
_cell_length_c 20.922
_cell_angle_alpha 90.00
_cell_angle_beta 90.00
_cell_angle_gamma 90.00
_space_group_name_H-M_alt 'P n m a'
_space_group_IT_number 62
_space_group_name_Hall '-P 2ac 2n'
loop_
_atom_site_label
_atom_site_fract_x
_atom_site_fract_y
_atom_site_fract_z
Ho1 0.149 0.250 0.101
Ho2 0.158 0.750 0.396
Tm1 0.076 0.250 0.811
Tm2 0.115 0.750 0.961
Tm3 0.117 0.250 0.540
Tm4 0.169 0.250 0.256
Tl1 0.085 0.750 0.674


Run B
# Ho2Tm4Tl GGA-PBE optimized geometry
# Magnetic moment   0.000 μB/atom
# Mass density   9556 kg/m3
# Fermi-level density of states   1.24 states/eV/atom
data_Ho2Tm4Tl
_chemical_formula_sum 'Ho4 Tm8 Tl2'
_cell_length_a 16.211
_cell_length_b 3.432
_cell_length_c 8.469
_cell_angle_alpha 90.00
_cell_angle_beta 116.83
_cell_angle_gamma 90.00
_space_group_name_H-M_alt 'C 1 2/m 1'
_space_group_IT_number 12
_space_group_name_Hall '-C 2y'
loop_
_atom_site_label
_atom_site_fract_x
_atom_site_fract_y
_atom_site_fract_z
Ho1 0.219 0.000 0.142
Tm1 0.076 0.000 0.705
Tm2 0.138 0.500 0.410
Tl1 0.000 0.000 0.000


The structure with the most favorable energy is run A; the runner-up is 0.047 eV/atom above it.


Run A
# Ho3TmTl4 GGA-PBE optimized geometry
# Magnetic moment   0.000 μB/atom
# Mass density   11483 kg/m3
# Fermi-level density of states   0.68 states/eV/atom
data_Ho3TmTl4
_chemical_formula_sum 'Ho3 Tm1 Tl4'
_cell_length_a 3.767
_cell_length_b 3.767
_cell_length_c 15.095
_cell_angle_alpha 90.00
_cell_angle_beta 90.00
_cell_angle_gamma 90.00
_space_group_name_H-M_alt 'P 4/m m m'
_space_group_IT_number 123
_space_group_name_Hall '-P 4 2'
loop_
_atom_site_label
_atom_site_fract_x
_atom_site_fract_y
_atom_site_fract_z
Ho1 0.000 0.000 0.000
Ho2 0.000 0.000 0.251
Tm1 0.000 0.000 0.500
Tl1 0.500 0.500 0.126
Tl2 0.500 0.500 0.377


Run B
# Ho3TmTl4 GGA-PBE optimized geometry
# Magnetic moment   0.000 μB/atom
# Mass density   11039 kg/m3
# Fermi-level density of states   0.81 states/eV/atom
data_Ho3TmTl4
_chemical_formula_sum 'Ho6 Tm2 Tl8'
_cell_length_a 10.484
_cell_length_b 6.516
_cell_length_c 6.523
_cell_angle_alpha 90.00
_cell_angle_beta 90.00
_cell_angle_gamma 90.00
_space_group_name_H-M_alt 'P m n 21'
_space_group_IT_number 31
_space_group_name_Hall 'P 2ac -2'
loop_
_atom_site_label
_atom_site_fract_x
_atom_site_fract_y
_atom_site_fract_z
Ho1 0.000 0.046 0.000
Ho2 0.249 0.749 0.190
Tm1 0.000 0.544 0.880
Tl1 0.000 0.012 0.493
Tl2 0.000 0.511 0.388
Tl3 0.249 0.751 0.691


The structure with the most favorable energy is run A; the runner-up is 0.120 eV/atom above it.